The following is a GGA-PBE calculation of crystalline Ta3BPd at its relaxed geometry, from Alexandria.

Computed properties:
D(E_F) = 6.20 states/eV per cell
SG = Pm-3m
raw total energy = -47.78 eV/cell
energy relative to the elements = -0.070 eV per atom

a b c (Å): 4.328 4.328 4.328
angles (deg): 90.00 90.00 90.00
Fractional coordinates of all 5 atoms:
Ta (0.000, 0.000, 0.500)
Ta (0.000, 0.500, 0.000)
Ta (0.500, 0.000, 0.000)
B (0.000, 0.000, 0.000)
Pd (0.500, 0.500, 0.500)

The following is a GGA-PBE calculation of crystalline Li6AgHg2 at its relaxed geometry, from Alexandria.

Computed properties:
D(E_F) = 3.54 states/eV per cell
SG = P-3m1
raw total energy = -17.29 eV/cell
energy relative to the elements = -0.261 eV per atom

a b c (Å): 4.597 4.597 8.540
angles (deg): 90.00 90.00 120.00
Fractional coordinates of all 9 atoms:
Li (0.000, 0.000, 0.182)
Li (0.000, 0.000, 0.818)
Li (0.333, 0.667, 0.065)
Li (0.333, 0.667, 0.403)
Li (0.667, 0.333, 0.597)
Li (0.667, 0.333, 0.935)
Ag (0.000, 0.000, 0.500)
Hg (0.333, 0.667, 0.736)
Hg (0.667, 0.333, 0.264)